Version i
TeMo3Se: relaxed, PBE-GGA.

a b c (Å): 4.6852 4.6852 4.6852
angles (deg): 90.00 90.00 90.00
Site moments in Bohr magnetons follow the coordinates.
Sites, in units of the cell vectors:
Te 0.5000 0.5000 0.5000  -0.01
Se 0.0000 0.0000 0.0000  -0.02
Mo 0.0000 0.5000 0.0000  0.56
Mo 0.0000 0.0000 0.5000  0.71
Mo 0.5000 0.0000 0.0000  0.65

Computed properties:
The magnetic moment is 2.23 Bohr magnetons per cell. Its crystal system is cubic.

---

Version ii
TeMo3Se: relaxed, PBE-GGA.

a b c (Å): 4.9205 4.9205 4.9205
angles (deg): 90.00 90.00 90.00
Sites, in units of the cell vectors:
Mo 0.0000 0.0000 0.5000
Mo 0.5000 0.0000 0.0000
Mo 0.0000 0.5000 0.0000
Se 0.5000 0.5000 0.5000
Te 0.0000 0.0000 0.0000

Computed properties:
The magnetic moment is 0.00 Bohr magnetons per cell. Its crystal system is cubic.

---

Which is the most stable structure? version i is the most stable.

---

Version i
Te2Mo2WSe4: relaxed, PBE-GGA.

a b c (Å): 3.3993 3.3993 22.2692
angles (deg): 90.00 90.00 120.00
Sites, in units of the cell vectors:
Mo 0.0000 0.0000 0.9722
Mo 0.6667 0.3333 0.6572
Te 0.6667 0.3333 0.2452
Te 0.6667 0.3333 0.4142
Se 0.0000 0.0000 0.5831
Se 0.6667 0.3333 0.8983
Se 0.6667 0.3333 0.0462
Se 0.0000 0.0000 0.7311
W 0.0000 0.0000 0.3297

Computed properties:
The magnetic moment is 0.00 Bohr magnetons per cell. Its crystal system is trigonal.

---

Version ii
Te2Mo2WSe4: relaxed, PBE-GGA.

a b c (Å): 3.3948 3.3948 22.3234
angles (deg): 90.00 90.00 120.00
Sites, in units of the cell vectors:
Mo 0.0000 0.0000 0.0202
Mo 0.3333 0.6667 0.3461
Se 0.3333 0.6667 0.9464
Se 0.3333 0.6667 0.7488
Se 0.3333 0.6667 0.0941
Se 0.3333 0.6667 0.6004
Te 0.0000 0.0000 0.2621
Te 0.0000 0.0000 0.4301
W 0.0000 0.0000 0.6746

Computed properties:
The magnetic moment is 0.00 Bohr magnetons per cell. Its crystal system is trigonal.

---

Which is the most stable structure? version ii is the most stable.

---

Version i
Te4MoW3Se4: relaxed, PBE-GGA.

a b c (Å): 3.4367 3.4367 29.0497
angles (deg): 90.00 90.00 120.00
Sites, in units of the cell vectors:
Te 0.0000 0.0000 0.8160
Te 0.0000 0.0000 0.6875
Te 0.0000 0.0000 0.1853
Te 0.0000 0.0000 0.3137
Se 0.3333 0.6667 0.5564
Se 0.3333 0.6667 0.0580
Se 0.3333 0.6667 0.4434
Se 0.3333 0.6667 0.9454
Mo 0.0000 0.0000 0.0017
W 0.3333 0.6667 0.7518
W 0.0000 0.0000 0.4999
W 0.3333 0.6667 0.2495

Computed properties:
The magnetic moment is 0.00 Bohr magnetons per cell. Its crystal system is trigonal.

---

Version ii
Te4MoW3Se4: relaxed, PBE-GGA.

a b c (Å): 3.4327 3.4327 29.1434
angles (deg): 90.00 90.00 120.00
Sites, in units of the cell vectors:
W 0.3333 0.6667 0.2467
W 0.0000 0.0000 0.0052
W 0.3333 0.6667 0.7550
Se 0.0000 0.0000 0.3031
Se 0.0000 0.0000 0.1903
Se 0.3333 0.6667 0.9488
Se 0.3333 0.6667 0.0616
Te 0.3333 0.6667 0.4324
Te 0.0000 0.0000 0.8191
Te 0.0000 0.0000 0.6908
Te 0.3333 0.6667 0.5599
Mo 0.0000 0.0000 0.4961

Computed properties:
The magnetic moment is 0.00 Bohr magnetons per cell. Its crystal system is trigonal.

---

Which is the most stable structure? version ii is the most stable.

---

Version i
Te2MoWSe2: relaxed, PBE-GGA.

a b c (Å): 3.4309 3.4309 14.6169
angles (deg): 90.00 90.00 120.00
Sites, in units of the cell vectors:
Se 0.6667 0.3333 0.1627
Se 0.6667 0.3333 0.9377
Te 0.3333 0.6667 0.6789
Te 0.3333 0.6667 0.4244
W 0.3333 0.6667 0.0502
Mo 0.6667 0.3333 0.5517

Computed properties:
The magnetic moment is 0.00 Bohr magnetons per cell. Its crystal system is trigonal.

---

Version ii
Te2MoWSe2: relaxed, PBE-GGA.

a b c (Å): 3.4387 3.4387 14.5641
angles (deg): 90.00 90.00 120.00
Sites, in units of the cell vectors:
W 0.6667 0.3333 0.2372
Te 0.6667 0.3333 0.6345
Te 0.0000 0.0000 0.3660
Se 0.6667 0.3333 0.8739
Se 0.0000 0.0000 0.1255
Mo 0.0000 0.0000 0.7628

Computed properties:
The magnetic moment is 0.00 Bohr magnetons per cell. Its crystal system is trigonal.

---

Version iii
Te2MoWSe2: relaxed, PBE-GGA.

a b c (Å): 3.4385 3.4385 28.9949
angles (deg): 90.00 90.00 120.00
Sites, in units of the cell vectors:
W 0.3333 0.6667 0.6301
W 0.6667 0.3333 0.3699
Se 0.6667 0.3333 0.1776
Se 0.6667 0.3333 0.0648
Se 0.3333 0.6667 0.8224
Se 0.3333 0.6667 0.9352
Te 0.6667 0.3333 0.5658
Te 0.3333 0.6667 0.4342
Te 0.6667 0.3333 0.6945
Te 0.3333 0.6667 0.3055
Mo 0.3333 0.6667 0.1212
Mo 0.6667 0.3333 0.8788

Computed properties:
The magnetic moment is 0.00 Bohr magnetons per cell. Its crystal system is trigonal.

---

Which is the most stable structure? version i is the most stable.